Record 1
The following is a DFT calculation (PBE) of a relaxed TiZnSnP3O12 crystal.

Cell and atoms, written as POSCAR:
```
TiZnSnP3O12
1.0
4.3820 2.5299 7.0383
-4.3820 2.5299 7.0383
0.0000 -5.0599 7.0383
Ti Zn Sn P O
2 2 2 6 24
Direct
0.0000 0.0000 0.0000
0.5000 0.5000 0.5000
0.1405 0.1405 0.1405
0.6405 0.6405 0.6405
0.2892 0.2892 0.2892
0.7892 0.7892 0.7892
0.0989 0.3940 0.6934
0.1934 0.8940 0.5989
0.3940 0.6934 0.0989
0.5989 0.1934 0.8940
0.6934 0.0989 0.3940
0.8940 0.5989 0.1934
0.0404 0.8298 0.6303
0.0529 0.4018 0.2075
0.0840 0.2341 0.8860
0.1303 0.3298 0.5404
0.1474 0.9610 0.7542
0.2075 0.0529 0.4018
0.2341 0.8860 0.0840
0.2542 0.4610 0.6474
0.3298 0.5404 0.1303
0.3860 0.7341 0.5840
0.4018 0.2075 0.0529
0.4610 0.6474 0.2542
0.5404 0.1303 0.3298
0.5529 0.7075 0.9018
0.5840 0.3860 0.7341
0.6303 0.0404 0.8298
0.6474 0.2542 0.4610
0.7075 0.9018 0.5529
0.7341 0.5840 0.3860
0.7542 0.1474 0.9610
0.8298 0.6303 0.0404
0.8860 0.0840 0.2341
0.9018 0.5529 0.7075
0.9610 0.7542 0.1474
```

Computed properties:
DOS(E_F)   8.0 states/eV per cell
DFT total energy   -7.0585 eV/atom

---

Record 2
The following is a DFT calculation (PBE) of a relaxed TlSnPO2 crystal.

Cell and atoms, written as POSCAR:
```
TlSnPO2
1.0
4.2026 0.0000 0.0000
0.0000 4.2026 0.0000
0.0000 0.0000 5.3310
Tl Sn P O
1 1 1 2
Direct
0.0000 0.0000 0.0000
0.5000 0.5000 0.5000
0.0000 0.0000 0.5000
0.0000 0.5000 0.0000
0.5000 0.0000 0.0000
```

Computed properties:
DOS(E_F)   3.3 states/eV per cell
DFT total energy   -4.0829 eV/atom
Distance to the lowest polymorph of the same formula   684 meV per atom

---

Energy relative to the elements, uncorrected across the listed records, respectively: -2120; 256 meV per atom.